[1]
Material: DyTlIrRh
Method: DFT, PBE-GGA
State: relaxed

a = 4.745 Å, b = 4.745 Å, c = 4.745 Å
α = 60.00°, β = 60.00°, γ = 60.00°
Element x y z (fractional)
Tl  0.750  0.750  0.750
Ir  0.000  0.000  0.000
Rh  0.500  0.500  0.500
Dy  0.250  0.250  0.250

electronic total energy: -24.8 eV/cell

=====

[2]
Material: DyTmIrRh
Method: DFT, PBE-GGA
State: relaxed

a = 4.811 Å, b = 4.811 Å, c = 4.811 Å
α = 60.00°, β = 60.00°, γ = 60.00°
Element x y z (fractional)
Rh  0.500  0.500  0.500
Ir  0.000  0.000  0.000
Tm  0.250  0.250  0.250
Dy  0.750  0.750  0.750

electronic total energy: -29.0 eV/cell

=====

[3]
Material: DyUIrRh
Method: DFT, PBE-GGA
State: relaxed

a = 4.845 Å, b = 4.845 Å, c = 4.845 Å
α = 60.00°, β = 60.00°, γ = 60.00°
Element x y z (fractional)
Rh  0.500  0.500  0.500
Ir  0.000  0.000  0.000
U  0.250  0.250  0.250
Dy  0.750  0.750  0.750

electronic total energy: -34.4 eV/cell

=====

[4]
Material: DyYIrRh
Method: DFT, PBE-GGA
State: relaxed

a = 4.851 Å, b = 4.851 Å, c = 4.851 Å
α = 60.00°, β = 60.00°, γ = 60.00°
Element x y z (fractional)
Y  0.750  0.750  0.750
Ir  0.000  0.000  0.000
Rh  0.500  0.500  0.500
Dy  0.250  0.250  0.250

electronic total energy: -30.7 eV/cell

=====

[5]
Material: Dy2ZnIr2Rh5
Method: DFT, PBE-GGA
State: relaxed

a = 4.004 Å, b = 9.304 Å, c = 9.304 Å
α = 90.00°, β = 90.00°, γ = 90.00°
Element x y z (fractional)
Dy  0.000  0.665  0.165
Dy  0.000  0.335  0.835
Dy  0.000  0.165  0.335
Dy  0.000  0.835  0.665
Zn  0.000  0.000  0.000
Zn  0.000  0.500  0.500
Ir  0.000  0.134  0.634
Ir  0.000  0.866  0.366
Ir  0.000  0.634  0.866
Ir  0.000  0.366  0.134
Rh  0.500  0.197  0.068
Rh  0.500  0.803  0.932
Rh  0.500  0.068  0.803
Rh  0.500  0.697  0.432
Rh  0.500  0.932  0.197
Rh  0.500  0.303  0.568
Rh  0.500  0.568  0.697
Rh  0.500  0.432  0.303
Rh  0.500  0.500  0.000
Rh  0.500  0.000  0.500

electronic total energy: -137.4 eV/cell

=====

[6]
Material: DyZnIrRh
Method: DFT, PBE-GGA
State: relaxed

a = 4.577 Å, b = 4.577 Å, c = 4.577 Å
α = 60.00°, β = 60.00°, γ = 60.00°
Element x y z (fractional)
Zn  0.250  0.250  0.250
Ir  0.000  0.000  0.000
Rh  0.500  0.500  0.500
Dy  0.750  0.750  0.750

electronic total energy: -24.2 eV/cell

=====

[7]
Material: Dy6IrRu2
Method: DFT, PBE-GGA
State: relaxed

a = 6.601 Å, b = 7.339 Å, c = 9.529 Å
α = 90.00°, β = 88.25°, γ = 90.00°
Element x y z (fractional)
Dy  0.836  0.954  0.240
Dy  0.826  0.672  0.571
Dy  0.848  0.670  0.927
Dy  0.652  0.170  0.573
Dy  0.674  0.172  0.929
Dy  0.664  0.454  0.260
Dy  0.164  0.046  0.760
Dy  0.174  0.328  0.429
Dy  0.152  0.330  0.073
Dy  0.348  0.830  0.427
Dy  0.326  0.828  0.071
Dy  0.336  0.546  0.740
Ir  0.500  0.500  0.000
Ir  0.000  0.000  0.500
Ru  0.966  0.374  0.725
Ru  0.534  0.874  0.775
Ru  0.466  0.126  0.225
Ru  0.034  0.626  0.275

electronic total energy: -117.3 eV/cell

=====

[8]
Material: Dy2IrRu3
Method: DFT, PBE-GGA
State: relaxed

a = 5.275 Å, b = 5.275 Å, c = 5.412 Å
α = 89.88°, β = 119.30°, γ = 120.00°
Element x y z (fractional)
Dy  0.754  0.377  0.130
Dy  0.246  0.623  0.870
Ir  0.000  0.000  0.000
Ru  0.500  0.500  0.500
Ru  0.000  0.000  0.500
Ru  0.500  0.000  0.500

electronic total energy: -48.6 eV/cell

=====

[9]
Material: Dy4Ir2Ru
Method: DFT, PBE-GGA
State: relaxed

a = 4.820 Å, b = 4.820 Å, c = 8.304 Å
α = 73.13°, β = 73.13°, γ = 60.00°
Element x y z (fractional)
Dy  0.875  0.875  0.375
Dy  0.125  0.125  0.625
Dy  0.624  0.624  0.127
Dy  0.376  0.376  0.873
Ir  0.750  0.750  0.750
Ir  0.250  0.250  0.250
Ru  0.000  0.000  0.000

electronic total energy: -50.1 eV/cell

=====

[10]
Material: Dy4IrRu2
Method: DFT, PBE-GGA
State: relaxed

a = 4.827 Å, b = 4.827 Å, c = 8.245 Å
α = 72.98°, β = 72.98°, γ = 60.00°
Element x y z (fractional)
Dy  0.874  0.874  0.378
Dy  0.126  0.126  0.622
Dy  0.623  0.623  0.130
Dy  0.377  0.377  0.870
Ir  0.000  0.000  0.000
Ru  0.749  0.749  0.754
Ru  0.251  0.251  0.246

electronic total energy: -48.9 eV/cell

=====

What did the sixth record say?
Material: DyZnIrRh
Method: DFT, PBE-GGA
State: relaxed

a = 4.577 Å, b = 4.577 Å, c = 4.577 Å
α = 60.00°, β = 60.00°, γ = 60.00°
Element x y z (fractional)
Zn  0.250  0.250  0.250
Ir  0.000  0.000  0.000
Rh  0.500  0.500  0.500
Dy  0.750  0.750  0.750

electronic total energy: -24.2 eV/cell

=====

Which value of electronic total energy does entry 1 give? -24.8 eV/cell